Below is crystalline ZnCd at its relaxed geometry, with properties calculated at the PBE level.

Computed properties:
Energy relative to the elements, kJ/mol of formula units: 13
Total magnetization, Bohr magnetons per cell: 0.000
E, eV/atom: -1.027

The structure in POSCAR format:
```
ZnCd
1.0
6.262 0.000 0.000
0.000 4.334 0.000
0.000 0.000 5.752
Zn Cd
4 4
direct
0.544 0.250 0.876 Zn
0.044 0.250 0.624 Zn
0.956 0.750 0.376 Zn
0.456 0.750 0.124 Zn
0.365 0.750 0.619 Cd
0.135 0.250 0.119 Cd
0.635 0.250 0.381 Cd
0.865 0.750 0.881 Cd
```